1.
The following is a DFT calculation (PBE) of an optimized crystal structure of BeTl2Co.

Cell: 6.517 6.517 6.517 Å, 90.00 90.00 90.00°
Space group Fm-3m (No. 225)
Unique sites:
Be: 0.000 0.000 0.000 [4 per cell]
Tl: 0.250 0.250 0.250 [8 per cell]
Co: 0.000 0.000 0.500 [4 per cell]

- Raw total energy: -3.105 eV/atom

=====

2.
The following is a DFT calculation (PBE) of an optimized crystal structure of BeTlCo2.

Cell: 2.835 3.883 5.183 Å, 90.00 105.49 90.00°
Space group Pm (No. 6)
Unique sites:
Be: 0.000 0.000 0.000 [1 per cell]
Tl: 0.353 0.500 0.704 [1 per cell]
Co: 0.088 0.500 0.181 [1 per cell]
Co: 0.674 0.000 0.354 [1 per cell]

- Raw total energy: -4.637 eV/atom

=====

3.
The following is a DFT calculation (PBE) of an optimized crystal structure of BeTlCo2.

Cell: 2.957 2.957 6.205 Å, 90.00 90.00 90.00°
Space group P4mm (No. 99)
Unique sites:
Be: 0.000 0.000 0.000 [1 per cell]
Tl: 0.500 0.500 0.669 [1 per cell]
Co: 0.000 0.000 0.359 [1 per cell]
Co: 0.500 0.500 0.138 [1 per cell]

- Raw total energy: -4.760 eV/atom

=====

4.
The following is a DFT calculation (PBE) of an optimized crystal structure of TmBe2Co2.

Cell: 3.921 3.921 8.281 Å, 90.00 90.00 90.00°
Space group I4/mmm (No. 139)
Unique sites:
Tm: 0.000 0.000 0.000 [2 per cell]
Be: 0.000 0.000 0.355 [4 per cell]
Co: 0.000 0.500 0.250 [4 per cell]

- Raw total energy: -5.480 eV/atom

=====

5.
The following is a DFT calculation (PBE) of an optimized crystal structure of TmBe6Co2.

Cell: 3.607 5.852 9.348 Å, 90.00 90.00 90.00°
Space group Immm (No. 71)
Unique sites:
Tm: 0.000 0.000 0.000 [2 per cell]
Be: 0.000 0.160 0.500 [4 per cell]
Be: 0.000 0.196 0.286 [8 per cell]
Co: 0.000 0.500 0.132 [4 per cell]

- Raw total energy: -4.619 eV/atom

=====

6.
The following is a DFT calculation (PBE) of an optimized crystal structure of TmBeCo.

Cell: 6.624 4.014 6.745 Å, 90.00 90.00 90.00°
Space group Pnma (No. 62)
Unique sites:
Tm: 0.008 0.250 0.197 [4 per cell]
Be: 0.183 0.250 0.590 [4 per cell]
Co: 0.165 0.750 0.431 [4 per cell]

- Raw total energy: -5.315 eV/atom

=====

7.
The following is a DFT calculation (PBE) of an optimized crystal structure of TmBe3Co2.

Cell: 8.564 6.597 5.092 Å, 90.00 90.00 90.00°
Space group Cmcm (No. 63)
Unique sites:
Tm: 0.000 0.174 0.250 [4 per cell]
Be: 0.000 0.422 0.750 [4 per cell]
Be: 0.188 0.219 0.750 [8 per cell]
Co: 0.198 0.500 0.000 [8 per cell]

- Raw total energy: -5.233 eV/atom

=====

8.
The following is a DFT calculation (PBE) of an optimized crystal structure of TmBe2Co2.

Cell: 3.610 3.610 19.537 Å, 90.00 90.00 90.00°
Space group I4/mmm (No. 139)
Unique sites:
Tm: 0.000 0.000 0.126 [4 per cell]
Be: 0.000 0.000 0.314 [4 per cell]
Be: 0.000 0.500 0.000 [4 per cell]
Co: 0.000 0.000 0.435 [4 per cell]
Co: 0.000 0.500 0.250 [4 per cell]

- Raw total energy: -5.447 eV/atom

=====

9.
The following is a DFT calculation (PBE) of an optimized crystal structure of TmBe9Co2.

Cell: 4.3593 4.3593 20.8806 Å, 90.00 90.00 120.00°
Space group R-3m (No. 166, hexagonal axes)
Unique sites:
Tm: 0.0000 0.0000 0.0000 [3 per cell]
Be: 0.0000 0.0000 0.3326 [6 per cell]
Be: 0.0000 0.0000 0.5000 [3 per cell]
Be: 0.0069 0.5035 0.9099 [18 per cell]
Co: 0.0000 0.0000 0.1436 [6 per cell]

- Raw total energy: -4.530 eV/atom

=====

10.
The following is a DFT calculation (PBE) of an optimized crystal structure of TmBe3Co2.

Cell: 4.8424 4.8424 3.4970 Å, 90.00 90.00 120.00°
Space group P6/mmm (No. 191)
Unique sites:
Tm: 0.0000 0.0000 0.0000 [1 per cell]
Be: 0.0000 0.5000 0.5000 [3 per cell]
Co: 0.3333 0.6667 0.0000 [2 per cell]

- Raw total energy: -5.237 eV/atom

=====

11.
The following is a DFT calculation (PBE) of an optimized crystal structure of Tm2Be12Co5.

Cell: 7.8786 7.8786 11.3757 Å, 90.00 90.00 120.00°
Space group R-3m (No. 166, hexagonal axes)
Unique sites:
Tm: 0.0000 0.0000 0.1615 [6 per cell]
Be: 0.0000 0.2788 0.5000 [18 per cell]
Be: 0.0089 0.5045 0.3415 [18 per cell]
Co: 0.0000 0.0000 0.4020 [6 per cell]
Co: 0.0000 0.5000 0.0000 [9 per cell]

- Raw total energy: -4.923 eV/atom

=====

12.
The following is a DFT calculation (PBE) of an optimized crystal structure of TmBeCo4.

Cell: 3.593 13.951 5.997 Å, 90.00 90.00 90.00°
Space group Cmcm (No. 63)
Unique sites:
Tm: 0.000 0.118 0.250 [4 per cell]
Be: 0.000 0.227 0.750 [4 per cell]
Co: 0.000 0.075 0.750 [4 per cell]
Co: 0.000 0.317 0.059 [8 per cell]
Co: 0.000 0.500 0.000 [4 per cell]

- Raw total energy: -6.171 eV/atom

=====

| no. | M_tot (μB per formula unit) | ΔE_f (eV per atom) | DOS(E_F) (states/eV/f.u.) |
| --- | --- | --- | --- |
| 1 | 0.00 | 0.79 | 2.488 |
| 2 | 2.47 | 0.44 | 3.524 |
| 3 | 2.88 | 0.32 | 2.033 |
| 4 | 0.00 | -0.25 | 2.228 |
| 5 | 0.00 | -0.06 | 5.068 |
| 6 | 0.00 | -0.21 | 2.226 |
| 7 | 0.00 | -0.26 | 4.215 |
| 8 | 0.39 | -0.22 | 3.771 |
| 9 | 1.01 | -0.18 | 4.761 |
| 10 | 0.29 | -0.26 | 5.731 |
| 11 | 3.45 | -0.23 | 12.011 |
| 12 | 4.18 | -0.07 | 8.056 |